# Tm3UAs4

Crystalline Tm3UAs4 at its relaxed geometry (PBE-GGA, Alexandria via LeMat-Bulk). Values from VASP.

Structure (Quantum ESPRESSO input):
```
&SYSTEM
  ibrav = 0, nat = 8, ntyp = 3
/
ATOMIC_SPECIES
Tm 168.93 Tm.upf
U 238.03 U.upf
As 74.92 As.upf
CELL_PARAMETERS angstrom
-1.543 3.371 1.638
-4.959 -3.829 3.211
5.615 0.522 4.215
ATOMIC_POSITIONS crystal
Tm 0.000 0.000 0.500
Tm 0.500 0.500 0.500
Tm 0.000 0.500 0.000
U 0.500 0.000 0.000
As 0.000 0.749 0.749
As 0.500 0.249 0.751
As 0.000 0.251 0.251
As 0.500 0.751 0.249
```

Properties
Its magnetic moment is 2.3 Bohr magnetons per cell. The calculation puts the density of states at the Fermi level at 0.98 states/eV per atom. The total energy comes out at -6.716 eV/atom.